Co2NO | PBE with a Hubbard U | optimized geometry

Values from the calculation:
DOS at the Fermi energy, states/eV per cell: 3.761
Total energy, eV for the cell shown: -96.1
E above lowest polymorph, meV per atom: 0

Cell: 4.613 4.613 8.667 Å, 90.00 90.00 90.00°
Fractional positions:
Co1 0.239 0.250 0.125
Co2 0.250 0.739 0.375
Co3 0.250 0.761 0.875
Co4 0.261 0.250 0.625
Co5 0.739 0.750 0.625
Co6 0.750 0.239 0.875
Co7 0.750 0.261 0.375
Co8 0.761 0.750 0.125
N1 0.000 0.000 0.000
N2 0.000 0.500 0.250
N3 0.500 0.000 0.750
N4 0.500 0.500 0.500
O1 0.000 0.000 0.500
O2 0.000 0.500 0.750
O3 0.500 0.000 0.250
O4 0.500 0.500 0.000